Crystalline Dy3SN2 at its relaxed geometry, computed with PBE.

CIF file:
```
data_Dy3SN2
_chemical_formula_sum 'Dy3 S1 N2'
_cell_length_a 3.659
_cell_length_b 3.659
_cell_length_c 8.053
_cell_angle_alpha 103.15
_cell_angle_beta 103.15
_cell_angle_gamma 89.99
_symmetry_space_group_name_H-M 'P 1'
_symmetry_Int_Tables_number 1
loop_
_symmetry_equiv_pos_as_xyz
'x,y,z'
loop_
_atom_site_label
_atom_site_type_symbol
_atom_site_fract_x
_atom_site_fract_y
_atom_site_fract_z
_atom_site_occupancy
S1 S 0.434 0.436 0.874 1
Dy1 Dy 0.257 0.258 0.519 1
Dy2 Dy 0.934 0.936 0.874 1
Dy3 Dy 0.612 0.613 0.229 1
N1 N 0.765 0.766 0.535 1
N2 N 0.104 0.105 0.213 1
```

electronic total energy = -0.546 Ry/atom
SG = No. 139
size of the total moment = 0.00 μB/f.u.

---

Crystalline Dy2AlZn3Cu12 at its relaxed geometry, computed with PBE.

CIF file:
```
data_Dy2AlZn3Cu12
_chemical_formula_sum 'Dy2 Al1 Zn3 Cu12'
_cell_length_a 6.499
_cell_length_b 6.499
_cell_length_c 6.499
_cell_angle_alpha 84.47
_cell_angle_beta 84.47
_cell_angle_gamma 84.47
_symmetry_space_group_name_H-M 'P 1'
_symmetry_Int_Tables_number 1
loop_
_symmetry_equiv_pos_as_xyz
'x,y,z'
loop_
_atom_site_label
_atom_site_type_symbol
_atom_site_fract_x
_atom_site_fract_y
_atom_site_fract_z
_atom_site_occupancy
Zn1 Zn 0.000 0.000 0.500 1
Zn2 Zn 0.000 0.500 0.000 1
Zn3 Zn 0.500 0.000 0.000 1
Cu1 Cu 0.803 0.275 0.803 1
Cu2 Cu 0.583 0.137 0.583 1
Cu3 Cu 0.863 0.417 0.417 1
Cu4 Cu 0.197 0.197 0.725 1
Cu5 Cu 0.803 0.803 0.275 1
Cu6 Cu 0.197 0.725 0.197 1
Cu7 Cu 0.137 0.583 0.583 1
Cu8 Cu 0.583 0.583 0.137 1
Cu9 Cu 0.725 0.197 0.197 1
Cu10 Cu 0.275 0.803 0.803 1
Cu11 Cu 0.417 0.863 0.417 1
Cu12 Cu 0.417 0.417 0.863 1
Dy1 Dy 0.294 0.294 0.294 1
Dy2 Dy 0.706 0.706 0.706 1
Al1 Al 0.000 0.000 0.000 1
```

formation enthalpy at 0 K = 12 meV/atom
SG = No. 166
size of the total moment = 0.00 μB/f.u.

---

Crystalline TmSc7Al4 at its relaxed geometry, computed with PBE.

CIF file:
```
data_TmSc7Al4
_chemical_formula_sum 'Tm1 Sc7 Al4'
_cell_length_a 5.793
_cell_length_b 7.939
_cell_length_c 7.811
_cell_angle_alpha 78.54
_cell_angle_beta 49.49
_cell_angle_gamma 89.13
_symmetry_space_group_name_H-M 'P 1'
_symmetry_Int_Tables_number 1
loop_
_symmetry_equiv_pos_as_xyz
'x,y,z'
loop_
_atom_site_label
_atom_site_type_symbol
_atom_site_fract_x
_atom_site_fract_y
_atom_site_fract_z
_atom_site_occupancy
Sc1 Sc 0.500 0.000 0.000 1
Sc2 Sc 0.249 0.072 0.484 1
Sc3 Sc 0.066 0.618 0.283 1
Sc4 Sc 0.645 0.432 0.208 1
Sc5 Sc 0.934 0.382 0.717 1
Sc6 Sc 0.751 0.928 0.516 1
Sc7 Sc 0.355 0.568 0.792 1
Al1 Al 0.844 0.718 0.819 1
Al2 Al 0.575 0.263 0.611 1
Al3 Al 0.156 0.282 0.181 1
Al4 Al 0.425 0.737 0.389 1
Tm1 Tm 0.000 0.000 0.000 1
```

formation enthalpy at 0 K = -214 meV/atom
SG = No. 2
size of the total moment = 0.00 μB/f.u.

---

Crystalline PrCuSb at its relaxed geometry, computed with PBE.

CIF file:
```
data_PrCuSb
_chemical_formula_sum 'Pr2 Cu2 Sb2'
_cell_length_a 4.918
_cell_length_b 6.156
_cell_length_c 6.156
_cell_angle_alpha 68.95
_cell_angle_beta 66.43
_cell_angle_gamma 66.43
_symmetry_space_group_name_H-M 'P 1'
_symmetry_Int_Tables_number 1
loop_
_symmetry_equiv_pos_as_xyz
'x,y,z'
loop_
_atom_site_label
_atom_site_type_symbol
_atom_site_fract_x
_atom_site_fract_y
_atom_site_fract_z
_atom_site_occupancy
Pr1 Pr 0.000 0.250 0.250 1
Pr2 Pr 0.500 0.750 0.750 1
Cu1 Cu 0.000 0.750 0.250 1
Cu2 Cu 0.500 0.750 0.250 1
Sb1 Sb 0.750 0.080 0.920 1
Sb2 Sb 0.250 0.420 0.580 1
```

electronic total energy = -0.355 Ry/atom
SG = No. 74
size of the total moment = 0.00 μB/f.u.

---

Crystalline Cd3BW at its relaxed geometry, computed with PBE.

CIF file:
```
data_Cd3BW
_chemical_formula_sum 'Cd3 B1 W1'
_cell_length_a 4.543
_cell_length_b 4.543
_cell_length_c 4.543
_cell_angle_alpha 90.00
_cell_angle_beta 90.00
_cell_angle_gamma 90.00
_symmetry_space_group_name_H-M 'P 1'
_symmetry_Int_Tables_number 1
loop_
_symmetry_equiv_pos_as_xyz
'x,y,z'
loop_
_atom_site_label
_atom_site_type_symbol
_atom_site_fract_x
_atom_site_fract_y
_atom_site_fract_z
_atom_site_occupancy
Cd1 Cd 0.000 0.500 0.000 1
Cd2 Cd 0.000 0.000 0.500 1
Cd3 Cd 0.500 0.000 0.000 1
W1 W 0.500 0.500 0.500 1
B1 B 0.000 0.000 0.000 1
```

formation enthalpy at 0 K = 1382 meV/atom
offset from the most stable computed form = 0.0000 eV per atom
SG = No. 221
size of the total moment = 3.13 μB/f.u.

---

Crystalline Dy5HoCd6 at its relaxed geometry, computed with PBE.

CIF file:
```
data_Dy5HoCd6
_chemical_formula_sum 'Dy5 Ho1 Cd6'
_cell_length_a 5.280
_cell_length_b 7.498
_cell_length_c 8.354
_cell_angle_alpha 90.00
_cell_angle_beta 71.74
_cell_angle_gamma 90.00
_symmetry_space_group_name_H-M 'P 1'
_symmetry_Int_Tables_number 1
loop_
_symmetry_equiv_pos_as_xyz
'x,y,z'
loop_
_atom_site_label
_atom_site_type_symbol
_atom_site_fract_x
_atom_site_fract_y
_atom_site_fract_z
_atom_site_occupancy
Dy1 Dy 0.333 0.000 0.333 1
Dy2 Dy 0.000 0.500 0.000 1
Dy3 Dy 0.667 0.000 0.667 1
Dy4 Dy 0.333 0.500 0.334 1
Dy5 Dy 0.667 0.500 0.666 1
Cd1 Cd 0.500 0.751 0.000 1
Cd2 Cd 0.833 0.751 0.333 1
Cd3 Cd 0.500 0.249 0.000 1
Cd4 Cd 0.167 0.751 0.667 1
Cd5 Cd 0.833 0.249 0.333 1
Cd6 Cd 0.167 0.249 0.667 1
Ho1 Ho 0.000 0.000 0.000 1
```

formation enthalpy at 0 K = -319 meV/atom
SG = No. 10
size of the total moment = 0.00 μB/f.u.

---

Crystalline DyErGaOs at its relaxed geometry, computed with PBE.

CIF file:
```
data_DyErGaOs
_chemical_formula_sum 'Dy1 Er1 Ga1 Os1'
_cell_length_a 4.902
_cell_length_b 4.902
_cell_length_c 4.902
_cell_angle_alpha 60.00
_cell_angle_beta 60.00
_cell_angle_gamma 60.00
_symmetry_space_group_name_H-M 'P 1'
_symmetry_Int_Tables_number 1
loop_
_symmetry_equiv_pos_as_xyz
'x,y,z'
loop_
_atom_site_label
_atom_site_type_symbol
_atom_site_fract_x
_atom_site_fract_y
_atom_site_fract_z
_atom_site_occupancy
Dy1 Dy 0.000 0.000 0.000 1
Os1 Os 0.750 0.750 0.750 1
Er1 Er 0.500 0.500 0.500 1
Ga1 Ga 0.250 0.250 0.250 1
```

formation enthalpy at 0 K = -377 meV/atom
SG = No. 216
size of the total moment = 0.00 μB/f.u.

---

Crystalline VAsSe2 at its relaxed geometry, computed with PBE.

CIF file:
```
data_VAsSe2
_chemical_formula_sum 'V1 As1 Se2'
_cell_length_a 8.288
_cell_length_b 8.288
_cell_length_c 8.288
_cell_angle_alpha 26.70
_cell_angle_beta 26.70
_cell_angle_gamma 26.70
_symmetry_space_group_name_H-M 'P 1'
_symmetry_Int_Tables_number 1
loop_
_symmetry_equiv_pos_as_xyz
'x,y,z'
loop_
_atom_site_label
_atom_site_type_symbol
_atom_site_fract_x
_atom_site_fract_y
_atom_site_fract_z
_atom_site_occupancy
Se1 Se 0.898 0.898 0.898 1
Se2 Se 0.102 0.102 0.102 1
V1 V 0.000 0.000 0.000 1
As1 As 0.500 0.500 0.500 1
```

electronic total energy = -0.356 Ry/atom
SG = No. 166
size of the total moment = 3.63 μB/f.u.

---

> size of the total moment of number 6 (Dy5HoCd6)?

0.00 μB/f.u.